No. 1
! K2TeRu | Alexandria | PBE | relaxed; values from VASP
&SYSTEM
  ibrav = 0, nat = 4, ntyp = 3
/
ATOMIC_SPECIES
K 39.10 K.upf
Ru 101.07 Ru.upf
Te 127.60 Te.upf
CELL_PARAMETERS angstrom
-1.409 3.296 -0.061
-3.297 -1.407 0.043
0.045 0.210 10.250
ATOMIC_POSITIONS angstrom
K 0.041 0.193 9.445
K -2.338 1.014 3.375
Ru 0.026 0.121 5.925
Te -2.323 1.085 6.860
! DOS(E_F) = 0.75 states/eV per atom
! ΔE_f (raw) = 0.099 eV per atom
! Total moment = 0.4 μB per formula unit
! Total energy = -3.55 eV/atom

No. 2
! HfNiSn2 | Alexandria | PBE | relaxed; values from VASP
&SYSTEM
  ibrav = 0, nat = 4, ntyp = 3
/
ATOMIC_SPECIES
Ni 58.69 Ni.upf
Hf 178.49 Hf.upf
Sn 118.71 Sn.upf
CELL_PARAMETERS angstrom
3.203 0.000 0.000
1.602 2.774 0.000
1.602 0.925 9.763
ATOMIC_POSITIONS angstrom
Ni 3.203 1.849 4.882
Hf 0.000 0.000 0.000
Sn 1.602 0.925 6.799
Sn 4.805 2.774 2.964
! DOS(E_F) = 0.90 states/eV per atom
! E_form = 0.16 eV/atom
! Total moment = 0.0 μB per formula unit
! Total energy = -5.77 eV/atom

No. 3
! Ag12Te5Cl2 | Alexandria | PBE | relaxed; values from VASP
&SYSTEM
  ibrav = 0, nat = 19, ntyp = 3
/
ATOMIC_SPECIES
Ag 107.87 Ag.upf
Te 127.60 Te.upf
Cl 35.45 Cl.upf
CELL_PARAMETERS angstrom
8.143 0.000 0.000
-4.071 6.820 -3.269
0.000 -1.047 8.988
ATOMIC_POSITIONS angstrom
Ag 0.000 0.855 1.995
Ag -1.426 3.276 5.902
Ag 1.426 3.276 5.902
Ag -1.756 4.729 1.454
Ag 1.756 4.729 1.454
Ag 4.071 -0.577 6.496
Ag 0.000 6.351 -0.777
Ag 5.827 1.044 4.265
Ag 2.315 1.044 4.265
Ag 5.497 2.497 -0.183
Ag 2.645 2.497 -0.183
Ag 4.071 4.918 3.723
Te 0.000 3.446 3.381
Te 0.000 3.628 -0.672
Te 0.000 -0.524 4.494
Te 4.071 2.145 6.390
Te 4.071 2.327 2.338
Cl 6.464 0.000 0.000
Cl 1.679 0.000 0.000
! DOS(E_F) = 0.08 states/eV per atom
! ΔE_f (raw) = -0.087 eV per atom
! Total moment = 0.0 μB per formula unit
! Total energy = -2.91 eV/atom